VASP calculation (GGA-PBE) on a geometry-optimized Ce6PuZn2H structure.

Results
- VASP energy (eV per atom) = -5.761
- symmetry = P-1 (2)

Cell lengths 6.993, 6.994, 6.992 Å; angles 60.14, 60.11, 90.26 degrees
Fractional positions:
Ce 0.744 0.252 0.999
H 0.000 0.000 0.000
Zn 0.750 0.249 0.501
Ce 0.256 0.748 0.001
Ce 0.779 0.774 0.937
Ce 0.288 0.287 0.488
Pu 0.500 0.500 0.000
Ce 0.712 0.713 0.512
Ce 0.221 0.226 0.063
Zn 0.250 0.751 0.499

---

VASP calculation (GGA-PBE) on a geometry-optimized Rb2CeH2S4 structure.

Results
- VASP energy (eV per atom) = -4.523
- symmetry = C2/m (12)

Cell lengths 4.082, 7.746, 8.205 Å; angles 110.36, 104.40, 90.00 degrees
Fractional positions:
S 0.191 0.195 0.381
H 0.220 0.051 0.439
S 0.511 0.776 0.023
Rb 0.136 0.588 0.271
H 0.780 0.949 0.561
S 0.489 0.224 0.977
S 0.809 0.805 0.619
Ce 0.000 0.000 0.000
Rb 0.864 0.412 0.729

---

VASP calculation (GGA-PBE) on a geometry-optimized CeReH structure.

Results
- VASP energy (eV per atom) = -7.318
- symmetry = P-1 (2)

Cell lengths 3.160, 5.784, 5.366 Å; angles 78.48, 75.57, 87.41 degrees
Fractional positions:
Ce 0.218 0.235 0.705
Re 0.238 0.328 0.143
Re 0.762 0.672 0.857
H 0.753 0.951 0.656
Ce 0.782 0.765 0.295
H 0.247 0.049 0.344

---

VASP calculation (GGA-PBE) on a geometry-optimized CeRe2H7 structure.

Results
- VASP energy (eV per atom) = -5.401
- symmetry = Cmmm (65)

Cell lengths 3.468, 5.354, 5.346 Å; angles 120.05, 90.00, 90.00 degrees
Fractional positions:
H 0.000 0.264 0.527
Ce 0.000 0.000 0.000
H 0.500 0.500 0.000
H 0.000 0.736 0.473
Re 0.500 0.310 0.620
Re 0.500 0.690 0.380
H 0.500 0.966 0.281
H 0.500 0.315 0.281
H 0.500 0.685 0.719
H 0.500 0.034 0.719

---

VASP calculation (GGA-PBE) on a geometry-optimized CeReH6 structure.

Results
- VASP energy (eV per atom) = -4.904
- symmetry = R-3m (166)

Cell lengths 4.556, 4.556, 4.622 Å; angles 60.52, 60.52, 60.01 degrees
Fractional positions:
H 0.106 0.106 0.245
H 0.106 0.543 0.245
H 0.894 0.894 0.755
H 0.457 0.894 0.755
H 0.543 0.106 0.245
H 0.894 0.457 0.755
Ce 0.500 0.500 0.500
Re 0.000 0.000 0.000

---

VASP calculation (GGA-PBE) on a geometry-optimized CeH2Rh4 structure.

Results
- VASP energy (eV per atom) = -6.317
- symmetry = P1 (1)

Cell lengths 5.424, 4.981, 7.829 Å; angles 96.30, 101.88, 116.88 degrees
Fractional positions:
Rh 0.529 0.761 0.891
Rh 0.924 0.608 0.793
Rh 0.781 0.999 0.613
Rh 0.835 0.955 0.254
Rh 0.272 0.848 0.147
Ce 0.145 0.613 0.469
Rh 0.720 0.381 0.079
H 0.650 0.189 0.268
Ce 0.139 0.247 0.014
Rh 0.370 0.137 0.729
H 0.557 0.560 0.663
Rh 0.519 0.344 0.436
H 0.733 0.733 0.419
H 0.075 0.376 0.724

---

VASP calculation (GGA-PBE) on a geometry-optimized CeH5Rh structure.

Results
- VASP energy (eV per atom) = -4.722
- symmetry = C2/m (12)

Cell lengths 4.591, 4.591, 7.835 Å; angles 64.85, 64.85, 63.43 degrees
Fractional positions:
H 0.000 0.000 0.250
Ce 0.500 0.500 0.750
H 0.912 0.424 0.916
H 0.089 0.576 0.583
Rh 0.000 0.000 0.500
H 0.424 0.912 0.416
Rh 0.000 0.000 0.000
Ce 0.500 0.500 0.250
H 0.000 0.000 0.750
H 0.911 0.424 0.417
H 0.424 0.911 0.917
H 0.576 0.088 0.584
H 0.576 0.089 0.083
H 0.088 0.576 0.084

---

VASP calculation (GGA-PBE) on a geometry-optimized Ce2H7Rh2 structure.

Results
- VASP energy (eV per atom) = -4.946
- symmetry = Immm (71)

Cell lengths 3.757, 5.969, 5.969 Å; angles 88.63, 71.64, 71.64 degrees
Fractional positions:
H 0.800 0.402 0.998
H 0.200 0.002 0.598
Ce 0.500 0.768 0.232
H 0.000 0.000 0.000
H 0.200 0.598 0.002
H 0.800 0.998 0.402
Rh 0.225 0.775 0.775
Ce 0.500 0.232 0.768
Rh 0.775 0.225 0.225
H 0.740 0.760 0.760
H 0.260 0.240 0.240

---

VASP calculation (GGA-PBE) on a geometry-optimized CeH11Rh5 structure.

Results
- VASP energy (eV per atom) = -4.759
- symmetry = C2/m (12)

Cell lengths 5.115, 6.185, 6.185 Å; angles 126.76, 92.54, 92.54 degrees
Fractional positions:
H 0.668 0.108 0.656
H 0.500 0.000 0.000
H 0.100 0.519 0.793
H 0.332 0.344 0.892
Rh 0.000 0.500 0.500
H 0.640 0.441 0.441
H 0.900 0.481 0.207
Rh 0.570 0.381 0.123
Rh 0.430 0.877 0.619
H 0.332 0.892 0.344
H 0.100 0.793 0.519
H 0.668 0.656 0.108
H 0.360 0.559 0.559
Rh 0.570 0.123 0.381
H 0.900 0.207 0.481
Rh 0.430 0.619 0.877
Ce 0.000 0.000 0.000

---

VASP calculation (GGA-PBE) on a geometry-optimized Ce3H2Rh9 structure.

Results
- VASP energy (eV per atom) = -7.073
- symmetry = P-3m1 (164)

Cell lengths 5.791, 5.791, 7.072 Å; angles 90.00, 90.00, 120.00 degrees
Fractional positions:
Ce 0.000 0.000 0.000
Rh 0.835 0.670 0.334
Ce 0.667 0.333 0.665
Rh 0.835 0.165 0.334
H 0.667 0.333 0.181
Rh 0.165 0.835 0.666
H 0.333 0.667 0.819
Rh 0.500 0.500 0.000
Ce 0.333 0.667 0.335
Rh 0.670 0.835 0.666
Rh 0.000 0.500 0.000
Rh 0.330 0.165 0.334
Rh 0.165 0.330 0.666
Rh 0.500 0.000 0.000

---

VASP calculation (GGA-PBE) on a geometry-optimized CeH2Rh structure.

Results
- VASP energy (eV per atom) = -5.508
- symmetry = Cmcm (63)

Cell lengths 3.738, 4.147, 6.547 Å; angles 90.00, 106.61, 90.00 degrees
Fractional positions:
Ce 0.354 0.750 0.709
Ce 0.646 0.250 0.291
H 0.442 0.250 0.883
H 0.256 0.250 0.512
H 0.558 0.750 0.117
Rh 0.075 0.750 0.149
Rh 0.925 0.250 0.851
H 0.744 0.750 0.488

---

VASP calculation (GGA-PBE) on a geometry-optimized CeH7Rh5 structure.

Results
- VASP energy (eV per atom) = -5.305
- symmetry = P1 (1)

Cell lengths 5.588, 5.541, 5.494 Å; angles 106.19, 60.07, 74.42 degrees
Fractional positions:
Ce 0.172 0.923 0.908
H 0.951 0.754 0.383
H 0.378 0.287 0.740
H 0.964 0.293 0.745
H 0.262 0.495 0.489
Rh 0.366 0.616 0.210
H 0.643 0.040 0.951
Rh 0.802 0.661 0.718
H 0.791 0.383 0.445
Rh 0.955 0.493 0.087
H 0.542 0.781 0.340
Rh 0.400 0.130 0.375
Rh 0.775 0.144 0.608